# 1
Compound: CsHoInTe3
Source: Alexandria via LeMat-Bulk
Functional: GGA-PBE
Structure: relaxed

Summary:
formation energy (no corrections): -5.957 eV/f.u.
total moment: 0.000 μB/cell
D(E_F): 5.3 states/eV/cell
V: 40.91 Å³ per atom
SG: P2_1/m, No. 11

Cell lengths 4.3279, 9.9195, 12.2788 Å; angles 111.35, 90.00, 90.00 degrees
Last column: nearest neighbours and their distance in Å.
Atoms (fractional coordinates):
Ho (0.7500, 0.3655, 0.8482)  6 Te 3.06-3.12
Te (0.2500, 0.6673, 0.4143)  2 In 2.97, 1 Ho 3.12
Cs (0.7500, 0.7705, 0.7193)  7 Te 3.85-4.12, 1 In 4.10
Te (0.7500, 0.4019, 0.1064)  3 Ho 3.06
Te (0.2500, 0.5981, 0.8936)  3 Ho 3.06
Te (0.2500, 0.1285, 0.8091)  1 In 2.87, 2 Ho 3.10
Ho (0.2500, 0.6345, 0.1518)  6 Te 3.06-3.12
In (0.7500, 0.8781, 0.4267)  3 Te 2.87-2.97
Te (0.7500, 0.3327, 0.5857)  2 In 2.97, 1 Ho 3.12
Te (0.7500, 0.8715, 0.1909)  1 In 2.87, 2 Ho 3.10
In (0.2500, 0.1219, 0.5733)  3 Te 2.87-2.97
Cs (0.2500, 0.2295, 0.2807)  7 Te 3.85-4.12, 1 In 4.10



# 2
Compound: Li3HoRh2
Source: Alexandria via LeMat-Bulk
Functional: GGA-PBE
Structure: relaxed

Summary:
total moment: 0.000 μB/cell
D(E_F): 5.1 states/eV/cell
V: 16.44 Å³ per atom
energy of formation from the pure elements: -2.0 eV/f.u.
SG: C2/m, No. 12

Cell lengths 4.1419, 6.8802, 8.2176 Å; angles 116.55, 90.00, 107.52 degrees
Last column: nearest neighbours and their distance in Å.
Atoms (fractional coordinates):
Li (0.9427, 0.8854, 0.6181)  5 Li 2.62-2.86, 3 Rh 2.68-2.70
Li (0.2757, 0.5513, 0.4459)  4 Li 2.47-2.66, 2 Rh 2.64
Rh (0.5694, 0.1387, 0.1804)  2 Rh 2.65-2.66, 4 Li 2.67-2.78, 2 Ho 2.85
Rh (0.4306, 0.8613, 0.8196)  2 Rh 2.65-2.66, 4 Li 2.67-2.78, 2 Ho 2.85
Rh (0.7902, 0.5803, 0.2584)  5 Li 2.59-2.68, 1 Rh 2.66, 3 Ho 2.82-2.89
Ho (0.1413, 0.2826, 0.0196)  5 Rh 2.82-2.89, 2 Li 3.10
Li (0.0573, 0.1146, 0.3819)  5 Li 2.62-2.86, 3 Rh 2.68-2.70
Li (0.4207, 0.8414, 0.3166)  4 Li 2.58-2.74, 3 Rh 2.59-2.67
Li (0.5793, 0.1586, 0.6834)  4 Li 2.58-2.74, 3 Rh 2.59-2.67
Ho (0.8587, 0.7174, 0.9804)  5 Rh 2.82-2.89, 2 Li 3.10
Li (0.7243, 0.4487, 0.5541)  4 Li 2.47-2.66, 2 Rh 2.64
Rh (0.2098, 0.4197, 0.7416)  5 Li 2.59-2.68, 1 Rh 2.66, 3 Ho 2.82-2.89



# 3
Compound: Pm2SiAs
Source: Alexandria via LeMat-Bulk
Functional: GGA-PBE
Structure: relaxed

Summary:
formation energy (no corrections): -2.891 eV/f.u.
total moment: 0.000 μB/cell
D(E_F): 2.7 states/eV/cell
V: 24.25 Å³ per atom
offset from the most stable computed form: 0.4056 eV/atom
SG: P4/mmm, No. 123

Cell lengths 3.5844, 3.5844, 7.5491 Å; angles 90.00, 90.00, 90.00 degrees
Last column: nearest neighbours and their distance in Å.
Atoms (fractional coordinates):
Pm (0.0000, 0.0000, 0.7384)  4 As 3.11, 4 Si 3.21
Si (0.5000, 0.5000, 0.0000)  8 Pm 3.21, 4 Si 3.58
As (0.5000, 0.5000, 0.5000)  8 Pm 3.11
Pm (0.0000, 0.0000, 0.2616)  4 As 3.11, 4 Si 3.21



# 4
Compound: CaPr2NpAs4
Source: Alexandria via LeMat-Bulk
Functional: GGA-PBE
Structure: relaxed

Summary:
total moment: 2.995 μB/cell
D(E_F): 10.8 states/eV/cell
V: 26.85 Å³ per atom
energy of formation from the pure elements: -9.4 eV/f.u.
SG: P2/m, No. 10

Cell lengths 4.2438, 7.3263, 7.3139 Å; angles 109.14, 90.00, 90.00 degrees
Last column: nearest neighbours and their distance in Å.
Atoms (fractional coordinates):
Np (0.0000, 0.0000, 0.0000)  6 As 2.87-2.93
As (0.5000, 0.2380, 0.2369)  2 Np 2.93, 1 Ca 2.98, 3 Pr 2.99-3.08
As (0.0000, 0.7589, 0.2394)  1 Np 2.87, 2 Ca 3.00, 3 Pr 3.01-3.10
Pr (0.5000, 0.0000, 0.5000)  6 As 2.99-3.01
Ca (0.5000, 0.5000, 0.0000)  6 As 2.98-3.00
Pr (0.0000, 0.5000, 0.5000)  6 As 3.08-3.10
As (0.0000, 0.2411, 0.7605)  1 Np 2.87, 2 Ca 3.00, 3 Pr 3.01-3.10
As (0.5000, 0.7620, 0.7631)  2 Np 2.93, 1 Ca 2.98, 3 Pr 2.99-3.08



# 5
Compound: Sc2TeS
Source: Alexandria via LeMat-Bulk
Functional: GGA-PBE
Structure: relaxed

Summary:
formation energy (no corrections): -4.386 eV/f.u.
total moment: 1.461 μB/cell
D(E_F): 2.2 states/eV/cell
V: 20.70 Å³ per atom
offset from the most stable computed form: 0.4359 eV/atom
SG: Fm-3m, No. 225

Cell lengths 4.8926, 4.8926, 4.8926 Å; angles 60.00, 60.00, 60.00 degrees
Last column: nearest neighbours and their distance in Å.
Atoms (fractional coordinates):
Te (0.5000, 0.5000, 0.5000)  8 Sc 3.00
Sc (0.2500, 0.2500, 0.2500)  4 Te 3.00, 4 S 3.00
S (0.0000, 0.0000, 0.0000)  8 Sc 3.00
Sc (0.7500, 0.7500, 0.7500)  4 Te 3.00, 4 S 3.00



# 6
Compound: SmEr4S5
Source: Alexandria via LeMat-Bulk
Functional: GGA-PBE
Structure: relaxed

Summary:
formation energy (no corrections): -19.597 eV/f.u.
total moment: 0.000 μB/cell
D(E_F): 4.4 states/eV/cell
V: 20.87 Å³ per atom
SG: Immm, No. 71

Cell lengths 3.8906, 5.5032, 10.3143 Å; angles 105.47, 100.87, 90.00 degrees
Last column: nearest neighbours and their distance in Å.
Atoms (fractional coordinates):
S (0.3952, 0.8952, 0.7905)  4 Er 2.71-2.75, 2 Sm 2.82
Er (0.4005, 0.4005, 0.8011)  6 S 2.75
S (0.1991, 0.6991, 0.3982)  6 Er 2.74-2.75
Er (0.2018, 0.2018, 0.4037)  6 S 2.71-2.75
Er (0.7982, 0.7982, 0.5963)  6 S 2.71-2.75
Sm (0.0000, 0.0000, 0.0000)  6 S 2.75-2.82
S (0.8009, 0.3009, 0.6018)  6 Er 2.74-2.75
S (0.0000, 0.5000, 0.0000)  4 Er 2.75, 2 Sm 2.75
S (0.6048, 0.1048, 0.2095)  4 Er 2.71-2.75, 2 Sm 2.82
Er (0.5995, 0.5995, 0.1989)  6 S 2.75



# 7
Compound: NdPtPbAu
Source: Alexandria via LeMat-Bulk
Functional: GGA-PBE
Structure: relaxed

Summary:
total moment: 0.000 μB/cell
D(E_F): 1.9 states/eV/cell
V: 23.10 Å³ per atom
energy of formation from the pure elements: -2.6 eV/f.u.
SG: F-43m, No. 216

Cell lengths 5.0746, 5.0746, 5.0746 Å; angles 60.00, 60.00, 60.00 degrees
Last column: nearest neighbours and their distance in Å.
Atoms (fractional coordinates):
Pb (0.5000, 0.5000, 0.5000)  4 Au 3.11, 4 Pt 3.11
Pt (0.2500, 0.2500, 0.2500)  4 Pb 3.11, 4 Nd 3.11
Nd (0.0000, 0.0000, 0.0000)  4 Pt 3.11, 4 Au 3.11
Au (0.7500, 0.7500, 0.7500)  4 Pb 3.11, 4 Nd 3.11



# 8
Compound: KZnFe2Si
Source: Alexandria via LeMat-Bulk
Functional: GGA-PBE
Structure: relaxed

Summary:
formation energy (no corrections): 11.566 eV/f.u.
total moment: 5.624 μB/cell
D(E_F): 7.3 states/eV/cell
V: 22.22 Å³ per atom
SG: P4/mmm, No. 123

Cell lengths 4.6661, 5.1020, 4.6661 Å; angles 90.00, 90.00, 90.00 degrees
Last column: nearest neighbours and their distance in Å.
Atoms (fractional coordinates):
Fe (0.5000, 0.0000, 0.0000)  2 K 2.33
Zn (0.0000, 0.5000, 0.0000)  2 K 2.55
Si (0.5000, 0.5000, 0.5000)  4 Zn 3.30, 8 Fe 3.46
Fe (0.0000, 0.0000, 0.5000)  2 K 2.33
K (0.0000, 0.0000, 0.0000)  4 Fe 2.33, 2 Zn 2.55



# 9
Compound: Tl2AgBi
Source: Alexandria via LeMat-Bulk
Functional: GGA-PBE
Structure: relaxed

Summary:
total moment: 0.000 μB/cell
D(E_F): 1.1 states/eV/cell
V: 30.74 Å³ per atom
offset from the most stable computed form: 0.0000 eV/atom
energy of formation from the pure elements: 0.2 eV/f.u.
SG: Cm, No. 8

Cell lengths 5.1193, 5.1193, 6.1758 Å; angles 90.18, 113.95, 120.43 degrees
Last column: nearest neighbours and their distance in Å.
Atoms (fractional coordinates):
Bi (0.7238, 0.6128, 0.3366)  3 Ag 2.98
Ag (0.0066, 0.2549, 0.2615)  3 Bi 2.98, 4 Tl 3.26-3.31
Tl (0.6098, 0.0525, 0.6622)  3 Ag 3.26-3.65, 3 Bi 3.42-3.45, 3 Tl 3.44-3.46
Tl (0.1598, 0.8299, 0.9897)  3 Ag 3.30-3.31, 4 Tl 3.44-3.66, 4 Bi 3.49-3.55



# 10
Compound: SmThAlGa
Source: Alexandria via LeMat-Bulk
Functional: GGA-PBE
Structure: relaxed

Summary:
total moment: 0.000 μB/cell
D(E_F): 3.8 states/eV/cell
V: 25.25 Å³ per atom
energy of formation from the pure elements: -1.4 eV/f.u.
SG: F-43m, No. 216

Cell lengths 5.2274, 5.2274, 5.2274 Å; angles 60.00, 60.00, 60.00 degrees
Last column: nearest neighbours and their distance in Å.
Atoms (fractional coordinates):
Al (0.5000, 0.5000, 0.5000)  4 Th 3.20, 4 Sm 3.20
Sm (0.7500, 0.7500, 0.7500)  4 Al 3.20, 4 Ga 3.20
Th (0.2500, 0.2500, 0.2500)  4 Al 3.20, 4 Ga 3.20
Ga (0.0000, 0.0000, 0.0000)  4 Sm 3.20, 4 Th 3.20